[1]
Below is a geometry-optimized YThTcAu structure, with properties calculated at the PBE level.

Cell lengths 7.1729, 7.1729, 7.1729 Å; angles 90.00, 90.00, 90.00 degrees
Closest atoms and distances in Å follow each position.
Fractional positions:
Y (0.0000, 0.0000, 0.0000)  4 Au 3.11, 4 Tc 3.11
Y (0.0000, 0.5000, 0.5000)  4 Au 3.11, 4 Tc 3.11
Y (0.5000, 0.0000, 0.5000)  4 Au 3.11, 4 Tc 3.11
Y (0.5000, 0.5000, 0.0000)  4 Au 3.11, 4 Tc 3.11
Th (0.0000, 0.0000, 0.5000)  4 Tc 3.11, 4 Au 3.11
Th (0.0000, 0.5000, 0.0000)  4 Tc 3.11, 4 Au 3.11
Th (0.5000, 0.0000, 0.0000)  4 Tc 3.11, 4 Au 3.11
Th (0.5000, 0.5000, 0.5000)  4 Tc 3.11, 4 Au 3.11
Tc (0.2500, 0.2500, 0.2500)  4 Y 3.11, 4 Th 3.11
Tc (0.2500, 0.7500, 0.7500)  4 Y 3.11, 4 Th 3.11
Tc (0.7500, 0.2500, 0.7500)  4 Y 3.11, 4 Th 3.11
Tc (0.7500, 0.7500, 0.2500)  4 Y 3.11, 4 Th 3.11
Au (0.2500, 0.2500, 0.7500)  4 Th 3.11, 4 Y 3.11
Au (0.2500, 0.7500, 0.2500)  4 Th 3.11, 4 Y 3.11
Au (0.7500, 0.2500, 0.2500)  4 Th 3.11, 4 Y 3.11
Au (0.7500, 0.7500, 0.7500)  4 Th 3.11, 4 Y 3.11

Values from the calculation:
- energy of formation from the pure elements (eV per atom) = -0.33
- mass density (g cm⁻³) = 11.09

=====

[2]
Below is a geometry-optimized TiTcAu3 structure, with properties calculated at the PBE level.

Cell lengths 4.9437, 4.9437, 4.9437 Å; angles 90.00, 90.00, 90.00 degrees
Closest atoms and distances in Å follow each position.
Fractional positions:
Ti (0.0000, 0.0000, 0.0000)  12 Au 3.50
Tc (0.5000, 0.5000, 0.5000)  6 Au 2.47
Au (0.0000, 0.5000, 0.5000)  2 Tc 2.47
Au (0.5000, 0.0000, 0.5000)  2 Tc 2.47
Au (0.5000, 0.5000, 0.0000)  2 Tc 2.47

Values from the calculation:
- energy of formation from the pure elements (eV per atom) = 1.28
- mass density (g cm⁻³) = 10.13

=====

[3]
Below is a geometry-optimized Ti2Tc2Au structure, with properties calculated at the PBE level.

Cell lengths 3.5281, 3.5281, 14.1728 Å; angles 90.00, 90.00, 90.00 degrees
Closest atoms and distances in Å follow each position.
Fractional positions:
Ti (0.0000, 0.0000, 0.1029)  4 Tc 2.73, 4 Au 2.89, 1 Ti 2.92
Ti (0.0000, 0.0000, 0.8971)  4 Tc 2.73, 4 Au 2.89, 1 Ti 2.92
Ti (0.5000, 0.5000, 0.3971)  4 Tc 2.73, 4 Au 2.89, 1 Ti 2.92
Ti (0.5000, 0.5000, 0.6029)  4 Tc 2.73, 4 Au 2.89, 1 Ti 2.92
Tc (0.0000, 0.5000, 0.2500)  4 Tc 2.49, 4 Ti 2.73
Tc (0.0000, 0.5000, 0.7500)  4 Tc 2.49, 4 Ti 2.73
Tc (0.5000, 0.0000, 0.2500)  4 Tc 2.49, 4 Ti 2.73
Tc (0.5000, 0.0000, 0.7500)  4 Tc 2.49, 4 Ti 2.73
Au (0.0000, 0.0000, 0.5000)  8 Ti 2.89
Au (0.5000, 0.5000, 0.0000)  8 Ti 2.89

Values from the calculation:
- energy of formation from the pure elements (eV per atom) = 0.18
- mass density (g cm⁻³) = 9.20

=====

[4]
Below is a geometry-optimized TiTc3Au structure, with properties calculated at the PBE level.

Cell lengths 4.4949, 4.4949, 4.4949 Å; angles 90.00, 90.00, 90.00 degrees
Closest atoms and distances in Å follow each position.
Fractional positions:
Ti (0.0000, 0.0000, 0.0000)  6 Tc 2.25
Tc (0.0000, 0.0000, 0.5000)  2 Ti 2.25
Tc (0.0000, 0.5000, 0.0000)  2 Ti 2.25
Tc (0.5000, 0.0000, 0.0000)  2 Ti 2.25
Au (0.5000, 0.5000, 0.5000)  12 Tc 3.18

Values from the calculation:
- energy of formation from the pure elements (eV per atom) = 1.32
- mass density (g cm⁻³) = 9.85

=====

[5]
Below is a geometry-optimized Ti4TcAu3 structure, with properties calculated at the PBE level.

Cell lengths 3.1168, 3.1168, 13.8556 Å; angles 90.00, 90.00, 90.00 degrees
Closest atoms and distances in Å follow each position.
Fractional positions:
Ti (0.0000, 0.0000, 0.1063)  4 Tc 2.65, 4 Au 2.83, 1 Ti 2.95
Ti (0.0000, 0.0000, 0.3675)  8 Au 2.87, 4 Ti 3.12
Ti (0.0000, 0.0000, 0.6325)  8 Au 2.87, 4 Ti 3.12
Ti (0.0000, 0.0000, 0.8937)  4 Tc 2.65, 4 Au 2.83, 1 Ti 2.95
Tc (0.5000, 0.5000, 0.0000)  8 Ti 2.65
Au (0.5000, 0.5000, 0.2350)  8 Ti 2.83-2.87, 4 Au 3.12
Au (0.5000, 0.5000, 0.5000)  8 Ti 2.87, 4 Au 3.12
Au (0.5000, 0.5000, 0.7650)  8 Ti 2.83-2.87, 4 Au 3.12

Values from the calculation:
- energy of formation from the pure elements (eV per atom) = -0.41
- mass density (g cm⁻³) = 10.86

=====

[6]
Below is a geometry-optimized Ti3Tc2Au structure, with properties calculated at the PBE level.

Cell lengths 3.1663, 3.1663, 9.3971 Å; angles 90.00, 90.00, 90.00 degrees
Closest atoms and distances in Å follow each position.
Fractional positions:
Ti (0.0000, 0.0000, 0.0000)  8 Tc 2.73, 2 Ti 2.95
Ti (0.0000, 0.0000, 0.3142)  4 Tc 2.63, 4 Au 2.84
Ti (0.0000, 0.0000, 0.6858)  4 Tc 2.63, 4 Au 2.84
Tc (0.5000, 0.5000, 0.1669)  8 Ti 2.63-2.73
Tc (0.5000, 0.5000, 0.8331)  8 Ti 2.63-2.73
Au (0.5000, 0.5000, 0.5000)  8 Ti 2.84, 2 Tc 3.13, 4 Au 3.17

Values from the calculation:
- energy of formation from the pure elements (eV per atom) = -0.52
- mass density (g cm⁻³) = 9.46

=====

[7]
Below is a geometry-optimized Ti6Tc5Au structure, with properties calculated at the PBE level.

Cell lengths 7.6253, 7.6253, 7.6253 Å; angles 146.24, 131.50, 60.39 degrees
Closest atoms and distances in Å follow each position.
Fractional positions:
Ti (0.0704, 0.3278, 0.7426)  7 Tc 2.64-2.74, 1 Au 2.78
Ti (0.2344, 0.0000, 0.2344)  6 Tc 2.65-2.73, 2 Au 2.77, 1 Ti 2.94
Ti (0.4147, 0.6722, 0.7426)  7 Tc 2.64-2.74, 1 Au 2.78
Ti (0.5853, 0.3278, 0.2574)  7 Tc 2.64-2.74, 1 Au 2.78
Ti (0.7656, 0.0000, 0.7656)  6 Tc 2.65-2.73, 2 Au 2.77, 1 Ti 2.94
Ti (0.9296, 0.6722, 0.2574)  7 Tc 2.64-2.74, 1 Au 2.78
Tc (0.0000, 0.5000, 0.5000)  8 Ti 2.66-2.73
Tc (0.1676, 0.1676, 0.0000)  8 Ti 2.65-2.69
Tc (0.3359, 0.8359, 0.5000)  8 Ti 2.64-2.74
Tc (0.6641, 0.1641, 0.5000)  8 Ti 2.64-2.74
Tc (0.8324, 0.8324, 0.0000)  8 Ti 2.65-2.69
Au (0.5000, 0.5000, 0.0000)  8 Ti 2.77-2.78, 4 Tc 3.10

Values from the calculation:
- energy of formation from the pure elements (eV per atom) = -0.53
- mass density (g cm⁻³) = 8.85

=====

[8]
Below is a geometry-optimized Ti2TcAu structure, with properties calculated at the PBE level.

Cell lengths 3.2057, 3.2057, 6.2427 Å; angles 90.00, 90.00, 90.00 degrees
Closest atoms and distances in Å follow each position.
Fractional positions:
Ti (0.0000, 0.0000, 0.2301)  4 Tc 2.68, 4 Au 2.82, 1 Ti 2.87
Ti (0.0000, 0.0000, 0.7699)  4 Tc 2.68, 4 Au 2.82, 1 Ti 2.87
Tc (0.5000, 0.5000, 0.0000)  8 Ti 2.68
Au (0.5000, 0.5000, 0.5000)  8 Ti 2.82, 2 Tc 3.12

Values from the calculation:
- energy of formation from the pure elements (eV per atom) = -0.50
- mass density (g cm⁻³) = 10.11

=====

[9]
Below is a geometry-optimized Ti2TcAu structure, with properties calculated at the PBE level.

Cell lengths 4.0277, 4.0277, 17.5573 Å; angles 90.00, 90.00, 90.00 degrees
Closest atoms and distances in Å follow each position.
Fractional positions:
Ti (0.2355, 0.2500, 0.1250)  2 Tc 2.59, 2 Au 2.64, 2 Ti 2.77
Ti (0.2500, 0.7355, 0.3750)  2 Tc 2.59, 2 Au 2.64, 2 Ti 2.77
Ti (0.2500, 0.7645, 0.8750)  2 Tc 2.59, 2 Au 2.64, 2 Ti 2.77
Ti (0.2645, 0.2500, 0.6250)  2 Tc 2.59, 2 Au 2.64, 2 Ti 2.77
Ti (0.7355, 0.7500, 0.6250)  2 Tc 2.59, 2 Au 2.64, 2 Ti 2.77
Ti (0.7500, 0.2355, 0.8750)  2 Tc 2.59, 2 Au 2.64, 2 Ti 2.77
Ti (0.7500, 0.2645, 0.3750)  2 Tc 2.59, 2 Au 2.64, 2 Ti 2.77
Ti (0.7645, 0.7500, 0.1250)  2 Tc 2.59, 2 Au 2.64, 2 Ti 2.77
Tc (0.0000, 0.0000, 0.0000)  4 Ti 2.59, 4 Au 2.85
Tc (0.0000, 0.5000, 0.2500)  4 Ti 2.59, 4 Au 2.85
Tc (0.5000, 0.0000, 0.7500)  4 Ti 2.59, 4 Au 2.85
Tc (0.5000, 0.5000, 0.5000)  4 Ti 2.59, 4 Au 2.85
Au (0.0000, 0.0000, 0.5000)  4 Ti 2.64, 4 Tc 2.85
Au (0.0000, 0.5000, 0.7500)  4 Ti 2.64, 4 Tc 2.85
Au (0.5000, 0.0000, 0.2500)  4 Ti 2.64, 4 Tc 2.85
Au (0.5000, 0.5000, 0.0000)  4 Ti 2.64, 4 Tc 2.85

Values from the calculation:
- energy of formation from the pure elements (eV per atom) = 0.32
- mass density (g cm⁻³) = 9.11

=====

[10]
Below is a geometry-optimized Ti4Tc3Au structure, with properties calculated at the PBE level.

Cell lengths 4.4110, 4.4110, 6.3460 Å; angles 90.00, 90.00, 90.00 degrees
Closest atoms and distances in Å follow each position.
Fractional positions:
Ti (0.0000, 0.5000, 0.2364)  6 Tc 2.67-2.77, 2 Au 2.77
Ti (0.0000, 0.5000, 0.7636)  6 Tc 2.67-2.77, 2 Au 2.77
Ti (0.5000, 0.0000, 0.2364)  6 Tc 2.67-2.77, 2 Au 2.77
Ti (0.5000, 0.0000, 0.7636)  6 Tc 2.67-2.77, 2 Au 2.77
Tc (0.0000, 0.0000, 0.0000)  8 Ti 2.67
Tc (0.0000, 0.0000, 0.5000)  8 Ti 2.77
Tc (0.5000, 0.5000, 0.0000)  8 Ti 2.67
Au (0.5000, 0.5000, 0.5000)  8 Ti 2.77

Values from the calculation:
- energy of formation from the pure elements (eV per atom) = -0.51
- mass density (g cm⁻³) = 9.18

=====

Look up the energy of formation from the pure elements of the eighth one. -0.50 eV per atom

=====

Which of these has the lowest mass density? Ti6Tc5Au

=====

mass density of number 4 (TiTc3Au)? 9.85 g cm⁻³